A relaxed TlBSeN2 crystal. Source: Alexandria via LeMat-Bulk, functional GGA-PBE.

Values from the calculation:
As for the distance to the lowest polymorph of the same formula: 1074 meV/atom. For the uncorrected energy, the calculation gives -16.1 eV/f.u. As for the space group: No. 123. Its density of states at the Fermi level is 2.4 states/eV per cell. As for the density: 4.9 g/cm3.

Cell lengths 4.2534, 4.2534, 6.0129 Å; angles 90.00, 90.00, 90.00 degrees
Last column: nearest neighbours and their distance in Å.
Sites, in units of the cell vectors:
Tl 0.0000 0.0000 0.0000  4 N 2.13
B 0.5000 0.5000 0.5000  4 Se 3.01
N 0.0000 0.5000 0.0000  2 Tl 2.13
N 0.5000 0.0000 0.0000  2 Tl 2.13
Se 0.0000 0.0000 0.5000  2 Tl 3.01, 4 B 3.01

---

A relaxed VBSeN2 crystal. Source: Alexandria via LeMat-Bulk, functional GGA-PBE.

Values from the calculation:
As for the distance to the lowest polymorph of the same formula: 0 meV/atom. For the uncorrected energy, the calculation gives -31.1 eV/f.u. As for the space group: No. 123. Its density of states at the Fermi level is 2.9 states/eV per cell. As for the density: 3.9 g/cm3.

Cell lengths 3.6482, 3.6482, 5.3527 Å; angles 90.00, 90.00, 90.00 degrees
Last column: nearest neighbours and their distance in Å.
Sites, in units of the cell vectors:
V 0.0000 0.0000 0.0000  4 N 1.82
Se 0.0000 0.0000 0.5000  4 B 2.58, 2 V 2.68
B 0.5000 0.5000 0.5000  4 Se 2.58
N 0.5000 0.0000 0.0000  2 V 1.82
N 0.0000 0.5000 0.0000  2 V 1.82

---

A relaxed VBSeN2 crystal. Source: Alexandria via LeMat-Bulk, functional GGA-PBE.

Values from the calculation:
As for the distance to the lowest polymorph of the same formula: 144 meV/atom. For the uncorrected energy, the calculation gives -30.3 eV/f.u. As for the space group: No. 123. Its density of states at the Fermi level is 5.8 states/eV per cell. As for the density: 4.3 g/cm3.

Cell lengths 3.2571, 3.2571, 6.1061 Å; angles 90.00, 90.00, 90.00 degrees
Last column: nearest neighbours and their distance in Å.
Sites, in units of the cell vectors:
V 0.5000 0.5000 0.5000  4 Se 2.30
Se 0.0000 0.0000 0.5000  4 V 2.30
N 0.0000 0.5000 0.0000  2 B 1.63
N 0.5000 0.0000 0.0000  2 B 1.63
B 0.0000 0.0000 0.0000  4 N 1.63